[1]
Below is SbWBr2 after structural relaxation, with properties calculated at the PBE-GGA level.

Output
ΔE_f (raw) (eV per atom): 1.240
Excess energy over the best structure of this formula in the dataset (eV/atom): 1.149
DFT total energy (eV/atom): -3.86
Calculated density (g cm⁻³): 8.215
Total magnetic moment (Bohr magnetons per cell): 5.6

abc: 4.5336 4.5336 9.1543
angles: 90.00 90.00 90.00
Space group I4/mmm (No. 139)
Inequivalent atoms, fractional coordinates:
Sb: 0.0000 0.0000 0.0000
W: 0.0000 0.0000 0.5000
Br: 0.0000 0.5000 0.2500


[2]
Below is SbWBr2 after structural relaxation, with properties calculated at the PBE-GGA level.

Output
ΔE_f (raw) (eV per atom): 0.986
Excess energy over the best structure of this formula in the dataset (eV/atom): 0.895
DFT total energy (eV/atom): -4.12
Calculated density (g cm⁻³): 8.793
Total magnetic moment (Bohr magnetons per cell): 2.6

abc: 4.8598 4.8598 7.4425
angles: 90.00 90.00 90.00
Space group I-4m2 (No. 119)
Inequivalent atoms, fractional coordinates:
Sb: 0.0000 0.0000 0.0000
W: 0.0000 0.5000 0.7500
Br: 0.0000 0.0000 0.5000
Br: 0.0000 0.5000 0.2500


[3]
Below is SbWBr2 after structural relaxation, with properties calculated at the PBE-GGA level.

Output
ΔE_f (raw) (eV per atom): 1.228
Excess energy over the best structure of this formula in the dataset (eV/atom): 1.136
DFT total energy (eV/atom): -3.88
Calculated density (g cm⁻³): 8.104
Total magnetic moment (Bohr magnetons per cell): 2.9

abc: 4.5518 4.5518 4.6027
angles: 90.00 90.00 90.00
Space group P4/mmm (No. 123)
Inequivalent atoms, fractional coordinates:
Sb: 0.0000 0.0000 0.0000
W: 0.5000 0.5000 0.0000
Br: 0.0000 0.5000 0.5000


[4]
Below is SbW4Br after structural relaxation, with properties calculated at the PBE-GGA level.

Output
ΔE_f (raw) (eV per atom): 1.167
DFT total energy (eV/atom): -8.43
Calculated density (g cm⁻³): 13.580
Total magnetic moment (Bohr magnetons per cell): 0.0

abc: 7.7100 7.7100 7.7100
angles: 90.00 90.00 90.00
Space group F-43m (No. 216)
Inequivalent atoms, fractional coordinates:
Sb: 0.0000 0.0000 0.0000
W: 0.1222 0.1222 0.6222
Br: 0.2500 0.2500 0.2500


[5]
Below is Sb2WBr after structural relaxation, with properties calculated at the PBE-GGA level.

Output
ΔE_f (raw) (eV per atom): 0.280
Excess energy over the best structure of this formula in the dataset (eV/atom): 0.022
DFT total energy (eV/atom): -5.44
Calculated density (g cm⁻³): 8.753
Total magnetic moment (Bohr magnetons per cell): 0.0

abc: 3.4366 3.3737 8.3877
angles: 90.00 98.26 90.00
Space group P2/m (No. 10)
Inequivalent atoms, fractional coordinates:
Sb: 0.0676 0.0000 0.1932
W: 0.5000 0.5000 0.0000
Br: 0.0000 0.5000 0.5000


[6]
Below is Sb2WBr after structural relaxation, with properties calculated at the PBE-GGA level.

Output
ΔE_f (raw) (eV per atom): 0.283
Excess energy over the best structure of this formula in the dataset (eV/atom): 0.025
DFT total energy (eV/atom): -5.44
Calculated density (g cm⁻³): 7.272
Total magnetic moment (Bohr magnetons per cell): 0.0

abc: 10.0543 3.2876 7.7805
angles: 90.00 115.74 90.00
Space group Cm (No. 8)
Inequivalent atoms, fractional coordinates:
Sb: 0.0000 0.0000 0.0000
Sb: 0.2081 0.0000 0.7163
W: 0.4844 0.0000 0.6964
Br: 0.3437 0.5000 0.4126